1.
The following is a PBE calculation of an optimized crystal structure of CsRhI2Cl, from Alexandria.

The space group is P4/mmm (No. 123) and the conventional cell measures 5.596, 5.596 and 5.077 Å, with angles of 90.00, 90.00 and 90.00 degrees. The inequivalent atoms are Cs at (0.000, 0.000, 0.000), Rh at (0.500, 0.500, 0.500), I at (0.000, 0.500, 0.500) and Cl at (0.500, 0.500, 0.000).

Its formation energy from raw total energies is -679 meV/atom.

2.
The following is a PBE calculation of an optimized crystal structure of UPaCoRu, from Alexandria.

The space group is F-43m (No. 216) and the conventional cell measures 6.457, 6.457 and 6.457 Å, with angles of 90.00, 90.00 and 90.00 degrees. The inequivalent atoms are U at (0.000, 0.000, 0.000), Pa at (0.250, 0.250, 0.750), Co at (0.000, 0.000, 0.500) and Ru at (0.250, 0.250, 0.250).

For the formation energy from the elements, the calculation gives -254 meV per atom.

3.
The following is a PBE calculation of an optimized crystal structure of TlCd2Ni, from Alexandria.

The space group is Immm (No. 71) and the conventional cell measures 2.977, 4.534 and 12.498 Å, with angles of 90.00, 90.00 and 90.00 degrees. The inequivalent atoms are Tl at (0.000, 0.000, 0.000), Cd at (0.000, 0.500, 0.189) and Ni at (0.000, 0.000, 0.500).

The relative energy among the computed polymorphs comes out at 8.5 meV/atom. For the formation energy from the elements, the calculation gives 94 meV per atom.

4.
The following is a PBE calculation of an optimized crystal structure of PaVSi2Ir, from Alexandria.

The space group is I-4m2 (No. 119) and the conventional cell measures 4.109, 4.109 and 10.013 Å, with angles of 90.00, 90.00 and 90.00 degrees. The inequivalent atoms are Pa at (0.000, 0.000, 0.000), V at (0.000, 0.500, 0.750), Si at (0.000, 0.000, 0.382) and Ir at (0.000, 0.500, 0.250).

Its formation energy from raw total energies is -746 meV/atom.

5.
The following is a PBE calculation of an optimized crystal structure of La2Cu5Ge3, from Alexandria.

The space group is P-4m2 (No. 115) and the conventional cell measures 4.410, 4.410 and 9.630 Å, with angles of 90.00, 90.00 and 90.00 degrees. The inequivalent atoms are La at (0.000, 0.500, 0.235), Cu at (0.000, 0.000, 0.000), Cu at (0.000, 0.000, 0.500), Cu at (0.000, 0.500, 0.893), Cu at (0.500, 0.500, 0.000), Ge at (0.000, 0.500, 0.645) and Ge at (0.500, 0.500, 0.500).

The relative energy among the computed polymorphs comes out at 167.6 meV/atom. For the formation energy from the elements, the calculation gives -287 meV per atom.

6.
The following is a PBE calculation of an optimized crystal structure of PmZr2RhN4, from Alexandria.

The space group is Cmcm (No. 63) and the conventional cell measures 3.245, 11.406 and 11.454 Å, with angles of 90.00, 90.00 and 90.00 degrees. The inequivalent atoms are Pm at (0.000, 0.115, 0.250), Zr at (0.000, 0.369, 0.050), Rh at (0.000, 0.149, 0.750), N at (0.000, 0.000, 0.000), N at (0.000, 0.271, 0.610) and N at (0.000, 0.460, 0.250).

Its formation energy from raw total energies is -1095 meV/atom.

7.
The following is a PBE calculation of an optimized crystal structure of Rb3BaAs, from Alexandria.

The space group is Pm-3m (No. 221) and the conventional cell measures 8.015, 8.015 and 8.015 Å, with angles of 90.00, 90.00 and 90.00 degrees. The inequivalent atoms are Rb at (0.000, 0.000, 0.500), Ba at (0.000, 0.000, 0.000) and As at (0.500, 0.500, 0.500).

The relative energy among the computed polymorphs comes out at 828.1 meV/atom. For the formation energy from the elements, the calculation gives 887 meV per atom.

8.
The following is a PBE calculation of an optimized crystal structure of SrCaTe2, from Alexandria.

The space group is R-3m (No. 166, hexagonal axes) and the conventional cell measures 4.6375, 4.6375 and 22.7273 Å, with angles of 90.00, 90.00 and 120.00 degrees. The inequivalent atoms are Sr at (0.0000, 0.0000, 0.0000), Ca at (0.0000, 0.0000, 0.5000) and Te at (0.0000, 0.0000, 0.2457).

The relative energy among the computed polymorphs comes out at 0.0 meV/atom. Its formation energy from raw total energies is -1693 meV/atom.

So what do the calculations give for density of states at the Fermi level? Going down the list: 3.2 14.7 4.1 8.9 4.6 10.4 9.5 0.0 states/eV/cell.